[1]
A relaxed structure of UTlInHg. Source: the Alexandria database, functional PBE.

Cell lengths 7.4379, 7.4379, 7.4379 Å; angles 90.00, 90.00, 90.00 degrees
Closest atoms and distances in Å follow each position.
Space group F-43m (No. 216)
Inequivalent atoms, fractional coordinates:
U1 0.0000 0.0000 0.0000 x4  4 Tl 3.22, 4 Hg 3.22
Tl1 0.2500 0.2500 0.7500 x4  4 In 3.22, 4 U 3.22
In1 0.0000 0.0000 0.5000 x4  4 Hg 3.22, 4 Tl 3.22
Hg1 0.2500 0.2500 0.2500 x4  4 U 3.22, 4 In 3.22

Calculated values
Size of the total moment ... 2.82 μB/f.u.
Energy of formation ... 1.035 eV per formula unit

=====

[2]
A relaxed structure of TlVIn2Hg. Source: the Alexandria database, functional PBE.

Cell lengths 5.7070, 5.7070, 5.5422 Å; angles 90.00, 90.00, 90.00 degrees
Closest atoms and distances in Å follow each position.
Space group P4/mmm (No. 123)
Inequivalent atoms, fractional coordinates:
Tl1 0.0000 0.0000 0.0000 x1  2 Hg 2.77, 4 In 2.85
V1 0.5000 0.5000 0.5000 x1  8 In 3.98, 4 Hg 4.04
In1 0.0000 0.5000 0.0000 x2  2 Tl 2.85
Hg1 0.0000 0.0000 0.5000 x1  2 Tl 2.77

Calculated values
Size of the total moment ... 4.13 μB/f.u.
Energy of formation ... 5.381 eV per formula unit

=====

[3]
A relaxed structure of YTlIn2Hg6. Source: the Alexandria database, functional PBE.

Cell lengths 12.5961, 10.9933, 8.0979 Å; angles 90.00, 105.98, 90.00 degrees
Closest atoms and distances in Å follow each position.
Space group C2/c (No. 15)
Inequivalent atoms, fractional coordinates:
Y1 0.0000 0.0557 0.2500 x4  8 Hg 3.12-3.34, 4 In 3.40-3.43
Tl1 0.0000 0.4139 0.7500 x4  6 Hg 3.26-3.29
In1 0.1684 0.1509 0.0078 x8  5 Hg 3.02-3.30, 1 In 3.02
Hg1 0.1036 0.1735 0.6091 x8  2 In 3.11-3.30, 2 Y 3.12-3.19, 4 Hg 3.27-3.49, 1 Tl 3.29
Hg2 0.1255 0.3246 0.2729 x8  1 In 3.03, 5 Hg 3.06-3.28, 1 Tl 3.26, 1 Y 3.33
Hg3 0.2245 0.4412 0.6255 x8  2 In 3.02-3.08, 3 Hg 3.06-3.30, 1 Tl 3.27, 1 Y 3.34

Calculated values
Size of the total moment ... 0.00 μB/f.u.
Energy of formation ... -1.061 eV per formula unit

=====

[4]
A relaxed structure of Tl2ZnInHg. Source: the Alexandria database, functional PBE.

Cell lengths 5.4218, 5.4218, 5.2637 Å; angles 90.00, 90.00, 90.00 degrees
Closest atoms and distances in Å follow each position.
Space group P4/mmm (No. 123)
Inequivalent atoms, fractional coordinates:
Tl1 0.0000 0.5000 0.0000 x2  2 Zn 2.71
Zn1 0.0000 0.0000 0.0000 x1  2 In 2.63, 4 Tl 2.71
In1 0.0000 0.0000 0.5000 x1  2 Zn 2.63
Hg1 0.5000 0.5000 0.5000 x1  8 Tl 3.78, 4 In 3.83

Calculated values
Size of the total moment ... 0.00 μB/f.u.
Energy of formation ... 0.911 eV per formula unit

=====

[5]
A relaxed structure of TlZnInHg2. Source: the Alexandria database, functional PBE.

Cell lengths 5.2928, 5.2928, 5.2570 Å; angles 90.00, 90.00, 90.00 degrees
Closest atoms and distances in Å follow each position.
Space group P4/mmm (No. 123)
Inequivalent atoms, fractional coordinates:
Tl1 0.0000 0.0000 0.0000 x1  8 Hg 3.73, 4 In 3.74
Zn1 0.5000 0.5000 0.5000 x1  2 In 2.63, 4 Hg 2.65
In1 0.5000 0.5000 0.0000 x1  2 Zn 2.63
Hg1 0.0000 0.5000 0.5000 x2  2 Zn 2.65

Calculated values
Size of the total moment ... 0.00 μB/f.u.
Polymorph energy (0 for the lowest one) ... 0.0 kJ/mol of atoms
Energy of formation ... 0.662 eV per formula unit

=====

[6]
A relaxed structure of TlZnIn2Hg. Source: the Alexandria database, functional PBE.

Cell lengths 5.3035, 5.3035, 5.2615 Å; angles 90.00, 90.00, 90.00 degrees
Closest atoms and distances in Å follow each position.
Space group P4/mmm (No. 123)
Inequivalent atoms, fractional coordinates:
Tl1 0.0000 0.0000 0.0000 x1  8 In 3.74, 4 Hg 3.75
Zn1 0.5000 0.5000 0.5000 x1  2 Hg 2.63, 4 In 2.65
In1 0.0000 0.5000 0.5000 x2  2 Zn 2.65
Hg1 0.5000 0.5000 0.0000 x1  2 Zn 2.63

Calculated values
Size of the total moment ... 0.00 μB/f.u.
Polymorph energy (0 for the lowest one) ... 0.0 kJ/mol of atoms
Energy of formation ... 0.819 eV per formula unit

=====

[7]
A relaxed structure of TlZnInHg2. Source: the Alexandria database, functional PBE.

Cell lengths 5.2548, 5.2548, 5.3741 Å; angles 90.00, 90.00, 90.00 degrees
Closest atoms and distances in Å follow each position.
Space group P4/mmm (No. 123)
Inequivalent atoms, fractional coordinates:
Tl1 0.0000 0.0000 0.0000 x1  2 Zn 2.69
Zn1 0.0000 0.0000 0.5000 x1  4 Hg 2.63, 2 Tl 2.69
In1 0.5000 0.5000 0.0000 x1  4 Tl 3.72, 8 Hg 3.76
Hg1 0.0000 0.5000 0.5000 x2  2 Zn 2.63

Calculated values
Size of the total moment ... 0.00 μB/f.u.
Polymorph energy (0 for the lowest one) ... 4.7 kJ/mol of atoms
Energy of formation ... 0.906 eV per formula unit

=====

[8]
A relaxed structure of TlZnIn2Hg. Source: the Alexandria database, functional PBE.

Cell lengths 5.2677, 5.2677, 5.4504 Å; angles 90.00, 90.00, 90.00 degrees
Closest atoms and distances in Å follow each position.
Space group P4/mmm (No. 123)
Inequivalent atoms, fractional coordinates:
Tl1 0.0000 0.0000 0.0000 x1  2 Zn 2.73
Zn1 0.0000 0.0000 0.5000 x1  4 In 2.63, 2 Tl 2.73
In1 0.0000 0.5000 0.5000 x2  2 Zn 2.63
Hg1 0.5000 0.5000 0.0000 x1  4 Tl 3.72, 8 In 3.79

Calculated values
Size of the total moment ... 0.00 μB/f.u.
Polymorph energy (0 for the lowest one) ... 2.3 kJ/mol of atoms
Energy of formation ... 0.937 eV per formula unit